# MgAlMoN2, relaxed, DFT PBE-GGA
# DOS at the Fermi energy ... 4.185 states/eV per cell
# Formation energy (no corrections) ... 1.3243 eV per atom
data_MgAlMoN2
_symmetry_space_group_name_H-M 'P 4/m m m'
_symmetry_Int_Tables_number 123
_symmetry_space_group_name_Hall '-P 4 2'
_cell_length_a 3.832
_cell_length_b 3.832
_cell_length_c 4.953
_cell_angle_alpha 90.00
_cell_angle_beta 90.00
_cell_angle_gamma 90.00
loop_
_atom_site_label
_atom_site_fract_x
_atom_site_fract_y
_atom_site_fract_z
_atom_site_occupancy
Mg1 0.000 0.000 0.000 1
Al1 0.500 0.500 0.500 1
Mo1 0.500 0.500 0.000 1
N1 0.000 0.500 0.500 1